No. 1
! Pr2Al4ZnAg3, optimized geometry, DFT PBE; values from VASP
&SYSTEM
  ibrav = 0, nat = 10, ntyp = 4
/
ATOMIC_SPECIES
Pr 140.91 Pr.upf
Al 26.98 Al.upf
Zn 65.41 Zn.upf
Ag 107.87 Ag.upf
CELL_PARAMETERS angstrom
4.410 0.000 0.000
0.000 4.410 0.000
0.000 0.000 10.734
ATOMIC_POSITIONS crystal
Pr 0.000 0.500 0.245
Pr 0.500 0.000 0.755
Al 0.000 0.000 0.500
Al 0.000 0.500 0.868
Al 0.500 0.000 0.132
Al 0.500 0.500 0.500
Zn 0.500 0.500 0.000
Ag 0.000 0.000 0.000
Ag 0.000 0.500 0.632
Ag 0.500 0.000 0.368
! Calculated density = 6.20 g/cm3
! Calculated formation energy = -0.359 eV/atom
! DFT total energy = -3.794 eV/atom
! Space group = No. 115
! Volume = 208.73 Å³ per cell

***

No. 2
! CdHgBr2, optimized geometry, DFT PBE; values from VASP
&SYSTEM
  ibrav = 0, nat = 4, ntyp = 3
/
ATOMIC_SPECIES
Cd 112.41 Cd.upf
Hg 200.59 Hg.upf
Br 79.90 Br.upf
CELL_PARAMETERS angstrom
4.151 0.000 0.000
0.000 4.254 0.000
0.000 0.000 7.295
ATOMIC_POSITIONS crystal
Cd 0.000 0.000 0.000
Hg 0.000 0.500 0.500
Br 0.500 0.000 0.500
Br 0.500 0.500 0.000
! Calculated density = 6.10 g/cm3
! DFT total energy = -1.360 eV/atom
! Space group = No. 47
! Volume = 128.81 Å³ per cell
! ΔE_f (raw) = -0.219 eV/atom

***

No. 3
! CrHg2As, optimized geometry, DFT PBE; values from VASP
&SYSTEM
  ibrav = 0, nat = 12, ntyp = 3
/
ATOMIC_SPECIES
Cr 52.00 Cr.upf
Hg 200.59 Hg.upf
As 74.92 As.upf
CELL_PARAMETERS angstrom
3.291 0.000 0.000
-1.645 2.850 0.000
0.000 0.000 27.181
ATOMIC_POSITIONS crystal
Cr 0.000 0.000 0.000
Cr 0.333 0.667 0.667
Cr 0.667 0.333 0.333
Hg 0.000 0.000 0.254
Hg 0.000 0.000 0.746
Hg 0.333 0.667 0.412
Hg 0.333 0.667 0.921
Hg 0.667 0.333 0.079
Hg 0.667 0.333 0.588
As 0.000 0.000 0.500
As 0.333 0.667 0.167
As 0.667 0.333 0.833
! Calculated density = 10.32 g/cm3
! Calculated formation energy = 0.443 eV/atom
! DFT total energy = -3.276 eV/atom
! Space group = No. 166
! Volume = 254.90 Å³ per cell

***

No. 4
! Ga2Sn2Bi, optimized geometry, DFT PBE; values from VASP
&SYSTEM
  ibrav = 0, nat = 10, ntyp = 3
/
ATOMIC_SPECIES
Ga 69.72 Ga.upf
Sn 118.71 Sn.upf
Bi 208.98 Bi.upf
CELL_PARAMETERS angstrom
8.601 0.000 0.000
0.000 8.601 0.000
0.000 0.000 3.389
ATOMIC_POSITIONS crystal
Ga 0.155 0.345 0.000
Ga 0.345 0.845 0.000
Ga 0.655 0.155 0.000
Ga 0.845 0.655 0.000
Sn 0.141 0.641 0.500
Sn 0.359 0.141 0.500
Sn 0.641 0.859 0.500
Sn 0.859 0.359 0.500
Bi 0.000 0.000 0.000
Bi 0.500 0.500 0.000
! Calculated density = 7.76 g/cm3
! Calculated formation energy = 0.077 eV/atom
! DFT total energy = -3.511 eV/atom
! Space group = No. 127
! Volume = 250.74 Å³ per cell

***

> Look up the calculated density of the second one.

6.10 g/cm3